Below is a relaxed structure of SrCaOF2, with properties calculated at the PBE-GGA level.

Structure (CIF):
```
data_SrCaOF2
_chemical_formula_sum 'Sr1 Ca1 O1 F2'
_cell_length_a 4.2936
_cell_length_b 4.2936
_cell_length_c 4.5778
_cell_angle_alpha 90.00
_cell_angle_beta 90.00
_cell_angle_gamma 90.00
_symmetry_space_group_name_H-M 'P 1'
_symmetry_Int_Tables_number 1
_symmetry_space_group_name_Hall 'P 1'
loop_
_atom_site_label
_atom_site_fract_x
_atom_site_fract_y
_atom_site_fract_z
_atom_site_occupancy
Sr1 0.5000 0.5000 0.5000 1
Ca1 0.0000 0.0000 0.0000 1
O1 0.0000 0.0000 0.5000 1
F1 0.0000 0.5000 0.0000 1
F2 0.5000 0.0000 0.0000 1
```

## Properties
- energy relative to the elements, uncorrected (eV per atom) = -3.171